The following is a DFT calculation (PBE) of SrLiTmAu after structural relaxation.

Cell lengths 5.260, 5.260, 5.260 Å; angles 60.00, 60.00, 60.00 degrees
Element x y z (fractional)
1 Sr 0.000 0.000 0.000
2 Li 0.250 0.250 0.250
3 Tm 0.500 0.500 0.500
4 Au 0.750 0.750 0.750

crystal system: cubic
calculated density: 7.429 g/cm3
calculated volume: 25.730 Å³ per atom
energy of formation: -0.29 eV/atom